Record 1
Compound: CeCdPb2
Source: Alexandria via LeMat-Bulk
Functional: PBE
Structure: relaxed

The structure in POSCAR format:
```
CeCdPb2
1.0
4.914 0.000 0.000
0.000 4.914 0.000
0.000 0.000 4.585
Ce Cd Pb
1 1 2
Direct
0.000 0.000 0.000
0.500 0.500 0.000
0.000 0.500 0.500
0.500 0.000 0.500
```

Energy relative to the elements in eV/atom: -0.344
Energy above the lowest structure with this stoichiometry in meV/atom: 0
Space group: P4/mmm, No. 123


Record 2
Compound: Ac2DyZn3
Source: Alexandria via LeMat-Bulk
Functional: PBE
Structure: relaxed

The structure in POSCAR format:
```
Ac2DyZn3
1.0
3.783 0.000 0.000
0.000 3.783 0.000
0.000 0.000 11.452
Ac Dy Zn
2 1 3
Direct
0.000 0.000 0.178
0.000 0.000 0.822
0.000 0.000 0.500
0.500 0.500 0.000
0.500 0.500 0.364
0.500 0.500 0.636
```

Energy relative to the elements in eV/atom: -0.254
Space group: P4/mmm, No. 123


Record 3
Compound: Pr4CN7
Source: Alexandria via LeMat-Bulk
Functional: PBE
Structure: relaxed

The structure in POSCAR format:
```
Pr4CN7
1.0
3.804 0.000 0.000
0.462 6.972 0.000
1.859 1.843 7.976
Pr C N
4 1 7
Direct
0.043 0.209 0.345
0.309 0.162 0.841
0.691 0.838 0.159
0.957 0.791 0.655
0.500 0.500 0.500
0.041 0.508 0.062
0.176 0.036 0.140
0.471 0.490 0.358
0.500 0.000 0.500
0.529 0.510 0.642
0.824 0.964 0.860
0.959 0.492 0.938
```

E_form (uncorrected) in eV/atom: -0.8207
Space group: P-1, No. 2


Record 4
Compound: TbMg2NpN4
Source: Alexandria via LeMat-Bulk
Functional: PBE
Structure: relaxed

The structure in POSCAR format:
```
TbMg2NpN4
1.0
5.560 0.000 0.000
0.000 3.399 0.000
-1.996 0.000 5.510
Tb Mg Np N
1 2 1 4
Direct
0.000 0.000 0.000
0.500 0.000 0.500
0.500 0.500 0.000
0.000 0.500 0.500
0.234 0.500 0.273
0.250 0.000 0.741
0.750 0.000 0.259
0.766 0.500 0.727
```

E_form (uncorrected) in eV/atom: -1.1011
Space group: P2/m, No. 10


Record 5
Compound: SmDy3Zn2
Source: Alexandria via LeMat-Bulk
Functional: PBE
Structure: relaxed

The structure in POSCAR format:
```
SmDy3Zn2
1.0
3.569 0.000 0.000
0.000 3.569 0.000
0.000 0.000 12.253
Sm Dy Zn
1 3 2
Direct
0.000 0.000 0.000
0.500 0.500 0.211
0.500 0.500 0.500
0.500 0.500 0.789
0.000 0.000 0.357
0.000 0.000 0.643
```

Energy relative to the elements in eV/atom: -0.228
Space group: P4/mmm, No. 123


Record 6
Compound: SrMgSb2
Source: Alexandria via LeMat-Bulk
Functional: PBE
Structure: relaxed

The structure in POSCAR format:
```
SrMgSb2
1.0
3.661 0.000 0.000
0.000 3.661 0.000
0.000 0.000 8.532
Sr Mg Sb
1 1 2
Direct
0.000 0.000 0.000
0.000 0.000 0.500
0.500 0.500 0.278
0.500 0.500 0.722
```

E_form (uncorrected) in eV/atom: -0.4135
Space group: P4/mmm, No. 123


Let's list calculated total energy in order: -3.911; -3.027; -8.039; -7.859; -3.740; -3.294 eV per atom.